Material: Mg5AlCu4
Method: DFT, PBE
State: relaxed

Unit cell a=7.0464 b=7.0464 c=6.1766 alpha=91.85 beta=91.85 gamma=35.48
With the nearest neighbours (Å) after each atom.
Positions (direct):
Mg: 0.0000 0.0000 0.0000  6 Cu 2.65-2.74
Mg: 0.3278 0.3278 0.5193  5 Cu 2.64-2.77, 1 Mg 2.94
Mg: 0.3276 0.3276 0.9953  4 Cu 2.68-2.78, 3 Mg 2.94-2.99
Mg: 0.6724 0.6724 0.0047  4 Cu 2.68-2.78, 3 Mg 2.94-2.99
Mg: 0.6722 0.6722 0.4807  5 Cu 2.64-2.77, 1 Mg 2.94
Al: 0.0000 0.0000 0.5000  6 Cu 2.49-2.56
Cu: 0.1530 0.1530 0.7405  1 Al 2.49, 7 Mg 2.65-2.78
Cu: 0.4855 0.4855 0.2740  2 Al 2.56, 5 Mg 2.64-2.77, 3 Cu 2.81-2.84
Cu: 0.5145 0.5145 0.7260  2 Al 2.56, 5 Mg 2.64-2.77, 3 Cu 2.81-2.84
Cu: 0.8470 0.8470 0.2595  1 Al 2.49, 7 Mg 2.65-2.78

## Properties
**Size of the total moment**: 0.00 μB/cell
**Final energy**: -28.748 eV for the cell shown
**Symmetry**: C2/m, No. 12
**Calculated formation energy**: -65 meV per atom

***

Material: Mg2AlCu
Method: DFT, PBE
State: relaxed

Unit cell a=8.3936 b=6.7099 c=5.1379 alpha=90.00 beta=90.00 gamma=90.00
With the nearest neighbours (Å) after each atom.
Positions (direct):
Mg: 0.1852 0.1671 0.2500  4 Al 2.82-3.01, 3 Mg 3.00-3.11, 4 Cu 3.01-3.14
Mg: 0.1852 0.8329 0.7500  4 Al 2.82-3.01, 3 Mg 3.00-3.11, 4 Cu 3.01-3.14
Mg: 0.3148 0.3329 0.7500  4 Al 2.82-3.01, 3 Mg 3.00-3.11, 4 Cu 3.01-3.14
Mg: 0.3148 0.6671 0.2500  4 Al 2.82-3.01, 3 Mg 3.00-3.11, 4 Cu 3.01-3.14
Mg: 0.6852 0.3329 0.7500  4 Al 2.82-3.01, 3 Mg 3.00-3.11, 4 Cu 3.01-3.14
Mg: 0.6852 0.6671 0.2500  4 Al 2.82-3.01, 3 Mg 3.00-3.11, 4 Cu 3.01-3.14
Mg: 0.8148 0.1671 0.2500  4 Al 2.82-3.01, 3 Mg 3.00-3.11, 4 Cu 3.01-3.14
Mg: 0.8148 0.8329 0.7500  4 Al 2.82-3.01, 3 Mg 3.00-3.11, 4 Cu 3.01-3.14
Al: 0.0000 0.1849 0.7500  2 Cu 2.47
Al: 0.0000 0.8151 0.2500  2 Cu 2.47
Al: 0.5000 0.3151 0.2500  2 Cu 2.47
Al: 0.5000 0.6849 0.7500  2 Cu 2.47
Cu: 0.0000 0.5000 0.0000  2 Al 2.47, 2 Cu 2.57
Cu: 0.0000 0.5000 0.5000  2 Al 2.47, 2 Cu 2.57
Cu: 0.5000 0.0000 0.0000  2 Al 2.47, 2 Cu 2.57
Cu: 0.5000 0.0000 0.5000  2 Al 2.47, 2 Cu 2.57

## Properties
**Size of the total moment**: 0.00 μB/cell
**Final energy**: -44.748 eV for the cell shown
**Symmetry**: Cmcm, No. 63
**Calculated formation energy**: -40 meV per atom

***

Material: MgAlCu
Method: DFT, PBE
State: relaxed

Unit cell a=4.3300 b=4.3300 c=3.0447 alpha=90.00 beta=90.00 gamma=120.00
With the nearest neighbours (Å) after each atom.
Positions (direct):
Mg: 0.0000 0.0000 0.0000  6 Cu 2.93, 6 Al 2.93, 2 Mg 3.04
Al: 0.3333 0.6667 0.5000  3 Cu 2.50
Cu: 0.6667 0.3333 0.5000  3 Al 2.50

## Properties
**Size of the total moment**: 0.00 μB/cell
**Final energy**: -9.683 eV for the cell shown
**Symmetry**: P-6m2, No. 187
**Calculated formation energy**: -83 meV per atom

***

Material: Mg2AlCu
Method: DFT, PBE
State: relaxed

Unit cell a=3.0031 b=3.0031 c=27.2631 alpha=90.00 beta=90.00 gamma=120.00
With the nearest neighbours (Å) after each atom.
Positions (direct):
Mg: 0.0000 0.0000 0.2446  3 Cu 2.74, 3 Al 2.98, 6 Mg 3.00
Mg: 0.0000 0.0000 0.7554  3 Cu 2.74, 3 Al 2.98, 6 Mg 3.00
Mg: 0.3333 0.6667 0.4221  3 Cu 2.74, 3 Al 2.98, 6 Mg 3.00
Mg: 0.3333 0.6667 0.9113  3 Cu 2.74, 3 Al 2.98, 6 Mg 3.00
Mg: 0.6667 0.3333 0.0887  3 Cu 2.74, 3 Al 2.98, 6 Mg 3.00
Mg: 0.6667 0.3333 0.5779  3 Cu 2.74, 3 Al 2.98, 6 Mg 3.00
Al: 0.0000 0.0000 0.0000  6 Mg 2.98, 6 Al 3.00
Al: 0.3333 0.6667 0.6667  6 Mg 2.98, 6 Al 3.00
Al: 0.6667 0.3333 0.3333  6 Mg 2.98, 6 Al 3.00
Cu: 0.0000 0.0000 0.5000  6 Mg 2.74, 6 Cu 3.00
Cu: 0.3333 0.6667 0.1667  6 Mg 2.74, 6 Cu 3.00
Cu: 0.6667 0.3333 0.8333  6 Mg 2.74, 6 Cu 3.00

## Properties
**Size of the total moment**: 0.00 μB/cell
**Final energy**: -32.818 eV for the cell shown
**Symmetry**: R-3m, No. 166
**Calculated formation energy**: 22 meV per atom

***

Material: MgAl2Cu
Method: DFT, PBE
State: relaxed

Unit cell a=10.8509 b=2.8478 c=4.6212 alpha=90.00 beta=111.60 gamma=90.00
With the nearest neighbours (Å) after each atom.
Positions (direct):
Mg: 0.0000 0.0000 0.0000  4 Cu 2.71, 2 Mg 2.85, 2 Al 3.04
Mg: 0.5000 0.5000 0.0000  4 Cu 2.71, 2 Mg 2.85, 2 Al 3.04
Al: 0.2119 0.0000 0.7168  2 Cu 2.57, 6 Al 2.82-2.85
Al: 0.2881 0.5000 0.2832  2 Cu 2.57, 6 Al 2.82-2.85
Al: 0.7119 0.5000 0.7168  2 Cu 2.57, 6 Al 2.82-2.85
Al: 0.7881 0.0000 0.2832  2 Cu 2.57, 6 Al 2.82-2.85
Cu: 0.0000 0.5000 0.5000  4 Al 2.57, 4 Mg 2.71, 2 Cu 2.85
Cu: 0.5000 0.0000 0.5000  4 Al 2.57, 4 Mg 2.71, 2 Cu 2.85

## Properties
**Size of the total moment**: 0.00 μB/cell
**Final energy**: -26.653 eV for the cell shown
**Symmetry**: C2/m, No. 12
**Calculated formation energy**: -38 meV per atom

***

Material: Mg2AlCu2
Method: DFT, PBE
State: relaxed

Unit cell a=3.8736 b=3.8736 c=11.8656 alpha=90.00 beta=90.00 gamma=90.00
With the nearest neighbours (Å) after each atom.
Positions (direct):
Mg: 0.0000 0.5000 0.2500  4 Cu 2.65, 4 Mg 2.74
Mg: 0.0000 0.5000 0.7500  4 Cu 2.65, 4 Mg 2.74
Mg: 0.5000 0.0000 0.2500  4 Cu 2.65, 4 Mg 2.74
Mg: 0.5000 0.0000 0.7500  4 Cu 2.65, 4 Mg 2.74
Al: 0.0000 0.0000 0.0000  8 Cu 2.97
Al: 0.5000 0.5000 0.5000  8 Cu 2.97
Cu: 0.0000 0.0000 0.4027  1 Cu 2.31
Cu: 0.0000 0.0000 0.5973  1 Cu 2.31
Cu: 0.5000 0.5000 0.0973  1 Cu 2.31
Cu: 0.5000 0.5000 0.9027  1 Cu 2.31

## Properties
**Size of the total moment**: 0.00 μB/cell
**Final energy**: -28.002 eV for the cell shown
**Symmetry**: I4/mmm, No. 139
**Calculated formation energy**: 225 meV per atom

***

Material: MgAlCu
Method: DFT, PBE
State: relaxed

Unit cell a=7.1791 b=7.1791 c=7.1791 alpha=145.82 beta=62.60 gamma=129.27
With the nearest neighbours (Å) after each atom.
Positions (direct):
Mg: 0.0000 0.0000 0.0000  4 Cu 2.77-2.78, 1 Al 2.85
Mg: 0.4636 0.1138 0.3498  4 Cu 2.60-2.80, 2 Al 2.84
Mg: 0.7640 0.1138 0.6502  4 Cu 2.60-2.80, 2 Al 2.84
Al: 0.2784 0.5941 0.6842  4 Cu 2.52-2.56
Al: 0.5372 0.5372 0.0000  4 Cu 2.42-2.60
Al: 0.9099 0.5941 0.3158  4 Cu 2.52-2.56
Cu: 0.1518 0.3146 0.8372  4 Al 2.42-2.54, 1 Mg 2.60
Cu: 0.2912 0.7912 0.5000  4 Al 2.56-2.60, 4 Mg 2.71-2.77
Cu: 0.4774 0.3146 0.1628  4 Al 2.42-2.54, 1 Mg 2.60

## Properties
**Size of the total moment**: 0.00 μB/cell
**Final energy**: -28.899 eV for the cell shown
**Symmetry**: Imm2, No. 44
**Calculated formation energy**: -67 meV per atom

***

Material: MgAl2Cu
Method: DFT, PBE
State: relaxed

Unit cell a=3.9359 b=7.2560 c=5.0411 alpha=90.00 beta=112.84 gamma=90.00
With the nearest neighbours (Å) after each atom.
Positions (direct):
Mg: 0.0638 0.2500 0.1272  3 Cu 2.66-2.80
Mg: 0.9362 0.7500 0.8728  3 Cu 2.66-2.80
Al: 0.3541 0.0541 0.7094  3 Cu 2.52-2.53, 1 Al 2.81
Al: 0.3541 0.4459 0.7094  3 Cu 2.52-2.53, 1 Al 2.81
Al: 0.6459 0.5541 0.2906  3 Cu 2.52-2.53, 1 Al 2.81
Al: 0.6459 0.9459 0.2906  3 Cu 2.52-2.53, 1 Al 2.81
Cu: 0.2226 0.7500 0.4456  6 Al 2.52-2.53, 3 Mg 2.66-2.80
Cu: 0.7774 0.2500 0.5544  6 Al 2.52-2.53, 3 Mg 2.66-2.80

## Properties
**Size of the total moment**: 0.00 μB/cell
**Final energy**: -27.835 eV for the cell shown
**Symmetry**: P2_1/m, No. 11
**Calculated formation energy**: -185 meV per atom

***

Material: MgAl2Cu
Method: DFT, PBE
State: relaxed

Unit cell a=3.9796 b=3.9796 c=8.2361 alpha=90.00 beta=90.00 gamma=90.00
With the nearest neighbours (Å) after each atom.
Positions (direct):
Mg: 0.0000 0.0000 0.0000  4 Cu 2.81, 8 Al 2.86
Mg: 0.5000 0.5000 0.5000  4 Cu 2.81, 8 Al 2.86
Al: 0.0000 0.5000 0.2500  4 Al 2.81, 4 Cu 2.86, 4 Mg 2.86
Al: 0.0000 0.5000 0.7500  4 Al 2.81, 4 Cu 2.86, 4 Mg 2.86
Al: 0.5000 0.0000 0.2500  4 Al 2.81, 4 Cu 2.86, 4 Mg 2.86
Al: 0.5000 0.0000 0.7500  4 Al 2.81, 4 Cu 2.86, 4 Mg 2.86
Cu: 0.0000 0.0000 0.5000  4 Mg 2.81, 8 Al 2.86
Cu: 0.5000 0.5000 0.0000  4 Mg 2.81, 8 Al 2.86

## Properties
**Size of the total moment**: 0.00 μB/cell
**Final energy**: -26.480 eV for the cell shown
**Symmetry**: I4/mmm, No. 139
**Calculated formation energy**: -16 meV per atom

***

Material: Mg2AlCu
Method: DFT, PBE
State: relaxed

Unit cell a=3.0110 b=3.0110 c=27.1098 alpha=90.00 beta=90.00 gamma=120.00
With the nearest neighbours (Å) after each atom.
Positions (direct):
Mg: 0.0000 0.0000 0.0000  3 Cu 2.73, 3 Al 2.98, 6 Mg 3.01
Mg: 0.0000 0.0000 0.1786  3 Cu 2.72, 3 Al 2.98, 6 Mg 3.01
Mg: 0.3333 0.6667 0.6667  3 Cu 2.73, 3 Al 2.98, 6 Mg 3.01
Mg: 0.3333 0.6667 0.8452  3 Cu 2.72, 3 Al 2.98, 6 Mg 3.01
Mg: 0.6667 0.3333 0.3333  3 Cu 2.73, 3 Al 2.98, 6 Mg 3.01
Mg: 0.6667 0.3333 0.5119  3 Cu 2.72, 3 Al 2.98, 6 Mg 3.01
Al: 0.0000 0.0000 0.4228  6 Mg 2.98, 6 Al 3.01
Al: 0.3333 0.6667 0.0895  6 Mg 2.98, 6 Al 3.01
Al: 0.6667 0.3333 0.7561  6 Mg 2.98, 6 Al 3.01
Cu: 0.0000 0.0000 0.5890  6 Mg 2.72-2.73, 6 Cu 3.01
Cu: 0.3333 0.6667 0.2557  6 Mg 2.72-2.73, 6 Cu 3.01
Cu: 0.6667 0.3333 0.9224  6 Mg 2.72-2.73, 6 Cu 3.01

## Properties
**Size of the total moment**: 0.00 μB/cell
**Final energy**: -32.572 eV for the cell shown
**Symmetry**: R3m, No. 160
**Calculated formation energy**: 43 meV per atom

***

Material: MgAlCu3
Method: DFT, PBE
State: relaxed

Unit cell a=4.4844 b=4.4844 c=4.4844 alpha=90.00 beta=90.00 gamma=90.00
With the nearest neighbours (Å) after each atom.
Positions (direct):
Mg: 0.0000 0.0000 0.0000  12 Cu 3.17
Al: 0.5000 0.5000 0.5000  6 Cu 2.24
Cu: 0.0000 0.5000 0.5000  2 Al 2.24
Cu: 0.5000 0.0000 0.5000  2 Al 2.24
Cu: 0.5000 0.5000 0.0000  2 Al 2.24

## Properties
**Size of the total moment**: 0.00 μB/cell
**Final energy**: -15.379 eV for the cell shown
**Symmetry**: Pm-3m, No. 221
**Calculated formation energy**: 449 meV per atom

***

Material: MgAl6Cu6
Method: DFT, PBE
State: relaxed

Unit cell a=6.5785 b=6.5785 c=6.5785 alpha=134.74 beta=99.58 gamma=97.45
With the nearest neighbours (Å) after each atom.
Positions (direct):
Mg: 0.0000 0.0000 0.0000  8 Al 2.94-3.05, 12 Cu 3.22-3.29
Al: 0.1953 0.6953 0.5000  6 Cu 2.52-2.61
Al: 0.3461 0.0000 0.3461  1 Al 2.61, 6 Cu 2.64-2.70
Al: 0.3472 0.3472 0.0000  6 Cu 2.61-2.62, 3 Al 2.65-2.85
Al: 0.6528 0.6528 0.0000  6 Cu 2.61-2.62, 3 Al 2.65-2.85
Al: 0.6539 0.0000 0.6539  1 Al 2.61, 6 Cu 2.64-2.70
Al: 0.8047 0.3047 0.5000  6 Cu 2.52-2.61
Cu: 0.0000 0.0000 0.5000  4 Cu 2.52-2.53, 6 Al 2.52-2.64
Cu: 0.0000 0.5000 0.0000  4 Cu 2.52-2.53, 6 Al 2.52-2.64
Cu: 0.2339 0.5000 0.7339  4 Cu 2.52, 6 Al 2.61-2.70
Cu: 0.5000 0.0000 0.0000  4 Cu 2.52-2.53, 6 Al 2.52-2.64
Cu: 0.5000 0.5000 0.5000  4 Cu 2.52-2.53, 6 Al 2.52-2.64
Cu: 0.7661 0.5000 0.2661  4 Cu 2.52, 6 Al 2.61-2.70

## Properties
**Size of the total moment**: 0.00 μB/cell
**Final energy**: -51.311 eV for the cell shown
**Symmetry**: Immm, No. 71
**Calculated formation energy**: -206 meV per atom